YPRh2, relaxed, DFT GGA-PBE; calculated volume = 68 Å³/f.u.; E = -30.47 eV per formula unit; spin magnetization = 0.00 Bohr magnetons per cell; space-group type = No. 63
1.0
-3.436 1.090 -1.919
0.268 -7.994 -0.676
-4.376 -0.772 7.395
Y Rh P
4 8 4
Direct
0.306 0.612 0.750
0.500 0.000 0.000
0.694 0.388 0.250
0.500 0.000 0.500
0.699 0.399 0.921
0.888 0.775 0.250
0.301 0.601 0.079
0.063 0.125 0.250
0.699 0.399 0.579
0.937 0.875 0.750
0.112 0.225 0.750
0.301 0.601 0.421
0.858 0.715 0.983
0.142 0.285 0.017
0.142 0.285 0.483
0.858 0.715 0.517